Record 1
## Sm12Ge5Te3 (GGA-PBE)

Data for a relaxed Sm12Ge5Te3 crystal.

E_form (uncorrected): -0.49 eV per atom
raw total energy: -4.951 eV/atom

Cell and atoms, written as extended XYZ:
```
80
Lattice="-11.724 4.571 8.423 -5.068 -8.199 -11.678 9.293 -8.458 8.450" Properties=species:S:1:pos:R:3 pbc="T T T"
Ge -8.476 -4.868 2.187
Sm 6.453 -7.999 8.572
Sm -4.276 -8.858 2.299
Sm -2.399 -6.799 10.490
Ge -4.502 -1.393 1.295
Ge -1.215 -1.943 8.437
Sm 0.501 -7.955 8.486
Ge -8.396 -1.814 -1.627
Sm -13.952 -4.087 -3.377
Ge 4.646 -4.229 4.225
Sm -2.716 -6.469 -0.056
Te 5.399 -8.879 5.527
Sm -9.760 -3.023 0.602
Sm -9.898 -7.179 2.637
Sm -5.670 -2.455 -0.957
Sm -5.447 -10.876 -0.586
Sm -1.945 -12.785 -1.400
Te -12.898 -3.207 -0.332
Te -2.389 -9.721 -0.319
Ge -2.534 -4.100 -5.839
Te -7.419 -9.032 1.380
Sm -0.031 -4.090 6.926
Sm -7.467 -7.996 -1.731
Sm -8.000 -4.131 -3.291
Ge -9.439 -6.432 -2.841
Sm 5.085 -10.218 2.484
Sm -11.665 -6.101 -1.260
Ge 0.977 -7.218 3.008
Sm -3.069 -3.935 14.066
Sm -5.554 0.699 6.595
Sm -6.274 -0.347 3.120
Sm 2.399 -4.907 2.558
Ge -6.204 -7.089 -7.056
Te -2.258 -6.561 7.223
Sm -0.060 -9.870 -2.707
Sm 0.550 -8.755 0.767
Sm -2.052 -1.210 5.781
Ge 2.112 -8.328 -1.614
Sm -1.303 -6.147 4.113
Te 1.070 -12.946 -2.828
Sm 1.128 -13.966 0.288
Sm -4.719 -8.583 8.228
Te -9.532 -0.704 2.994
Sm -2.779 -3.503 -3.033
Sm -3.223 -3.228 2.897
Ge -5.862 2.286 4.212
Sm -2.209 -10.271 -6.788
Sm -5.290 -1.815 11.984
Sm 2.261 -9.063 4.593
Sm -8.049 -3.331 4.428
Sm 0.077 -2.826 0.547
Ge -6.456 -7.468 6.409
Ge 0.000 0.000 0.000
Sm -10.477 -1.102 6.109
Sm -8.627 1.880 4.907
Ge -1.043 -4.618 -1.214
Ge -1.782 -8.750 -4.537
Ge 1.940 -5.654 8.037
Te -5.110 -2.365 5.514
Ge -3.749 -6.043 2.598
Sm -1.225 -11.739 2.075
Sm -6.196 -5.939 1.082
Te 2.033 -11.382 2.201
Te -8.569 0.860 8.023
Sm -12.584 -1.868 2.712
Ge -1.295 -4.997 12.252
Sm -5.100 -5.287 -5.295
Sm -7.576 -9.260 4.648
Ge -5.717 -3.336 9.732
Sm -4.783 -5.617 5.251
Sm -3.997 -8.419 -2.940
Sm -4.430 -8.151 -8.871
Sm 2.978 -10.984 -0.914
Sm -1.829 -9.631 6.152
Sm 4.166 -5.985 6.456
Ge -2.997 -10.693 3.900
Sm -3.502 -3.667 8.136
Te -5.241 -5.525 -2.028
Sm -7.439 -2.216 7.903
Te -0.080 -3.054 3.815
```

***

Record 2
## SmGeTe3 (GGA-PBE)

Data for a relaxed SmGeTe3 crystal.

polymorph energy (0 for the lowest one): 0.0000 eV/atom
E_form (uncorrected): -0.70 eV per atom
raw total energy: -4.448 eV/atom

Cell and atoms, written as extended XYZ:
```
20
Lattice="-1.402 -2.048 3.468 -7.454 -5.005 -5.970 8.472 -9.800 -2.363" Properties=species:S:1:pos:R:3 pbc="T T T"
Te -6.486 -5.166 -4.362
Te 3.562 -8.992 -2.560
Ge 2.656 -6.528 -1.471
Sm 6.480 -8.491 -1.084
Te -0.075 -3.691 -0.899
Te 3.122 -11.694 -4.334
Te 0.191 -7.911 -0.662
Te 4.072 -7.814 0.964
Ge -2.531 -2.266 -1.050
Sm 1.013 -10.817 -2.046
Ge 2.146 -14.587 -3.814
Te -3.506 -5.159 -0.531
Te -4.456 -9.039 -5.829
Sm -1.398 -6.036 -2.819
Sm -6.864 -8.362 -3.781
Te 6.101 -11.687 -0.502
Ge -3.040 -10.325 -3.394
Te -0.576 -8.942 -4.203
Te -3.947 -7.860 -2.305
Te -0.310 -13.162 -3.966
```

***

Q: What is the raw total energy in the second record?
A: -4.448 eV/atom